Record 1
5
Lattice="4.9448 0.0000 0.0000 0.0000 4.9448 0.0000 0.0000 0.0000 5.1353" Properties=species:S:1:pos:R:3 comment="NdY2TlC, optimized geometry, DFT PBE" delta_e_f_kcal_per_mol_atoms=-9.43 pbc="T T T"
Nd 0.0000 0.0000 0.0000
Y 0.0000 2.4724 2.5677
Y 2.4724 0.0000 2.5677
Tl 2.4724 2.4724 0.0000
C 0.0000 0.0000 2.5677

=====

Record 2
5
Lattice="5.2241 0.0000 0.0000 0.0000 5.2241 0.0000 0.0000 0.0000 5.2241" Properties=species:S:1:pos:R:3 comment="Nd3TmC, optimized geometry, DFT PBE" delta_e_f_kcal_per_mol_atoms=2.28 pbc="T T T"
Nd 0.0000 0.0000 2.6120
Nd 0.0000 2.6120 0.0000
Nd 2.6120 0.0000 0.0000
Tm 2.6120 2.6120 2.6120
C 0.0000 0.0000 0.0000

=====

Record 3
4
Lattice="1.8300 1.0565 5.9401 -1.8300 1.0565 5.9401 0.0000 -2.1131 5.9401" Properties=species:S:1:pos:R:3 comment="NdTmC2, optimized geometry, DFT PBE" delta_e_f_kcal_per_mol_atoms=3.69 pbc="T T T"
Nd 0.0000 0.0000 0.0000
Tm 0.0000 0.0000 8.9102
C 0.0000 0.0000 4.3505
C 0.0000 0.0000 13.4699

=====

Record 4
12
Lattice="6.2152 -3.5875 0.0000 6.2152 3.5875 0.0000 -4.1560 0.0000 6.1294" Properties=species:S:1:pos:R:3 comment="NdTm3C2, optimized geometry, DFT PBE" delta_e_f_kcal_per_mol_atoms=-6.03 pbc="T T T"
Nd 2.0725 0.0000 1.5006
Nd 6.2020 0.0000 4.6288
Tm 5.1682 1.8125 1.2902
Tm -0.0315 0.0000 4.8395
Tm 3.1062 1.8125 4.8392
Tm 5.1682 -1.8125 1.2902
Tm 8.3060 0.0000 1.2899
Tm 3.1062 -1.8125 4.8392
C 0.0000 0.0000 0.0000
C 3.1076 1.7937 0.0000
C 3.1076 -1.7937 0.0000
C 6.2152 0.0000 0.0000

=====

Record 5
4
Lattice="1.7473 1.0088 9.7361 -1.7473 1.0088 9.7361 0.0000 -2.0176 9.7361" Properties=species:S:1:pos:R:3 comment="NdTm2C, optimized geometry, DFT PBE" relative_energy_ev_per_atom=0.082 delta_e_f_kcal_per_mol_atoms=-3.22 pbc="T T T"
Nd 0.0000 0.0000 0.0000
Tm 0.0000 0.0000 3.5443
Tm 0.0000 0.0000 25.6641
C 0.0000 0.0000 14.6042

=====

Record 6
7
Lattice="-2.3922 2.3922 9.0332 2.3922 -2.3922 9.0332 2.3922 2.3922 -9.0332" Properties=species:S:1:pos:R:3 comment="Nd2Tm4C, optimized geometry, DFT PBE" delta_e_f_kcal_per_mol_atoms=2.05 pbc="T T T"
Nd 0.0000 0.0000 3.2374
Nd 0.0000 0.0000 14.8291
Tm 2.3922 0.0000 0.0000
Tm 0.0000 0.0000 6.6773
Tm 0.0000 2.3922 0.0000
Tm 0.0000 0.0000 11.3891
C 0.0000 0.0000 9.0332

=====

Record 7
4
Lattice="1.7754 1.0250 9.1557 -1.7754 1.0250 9.1557 0.0000 -2.0500 9.1557" Properties=species:S:1:pos:R:3 comment="NdTm2C, optimized geometry, DFT PBE" relative_energy_ev_per_atom=0.000 delta_e_f_kcal_per_mol_atoms=-5.12 pbc="T T T"
Nd 0.0000 0.0000 0.0000
Tm 0.0000 0.0000 15.0246
Tm 0.0000 0.0000 21.5324
C 0.0000 0.0000 4.5296

=====

Record 8
8
Lattice="-2.6079 2.6079 4.9876 2.6079 -2.6079 4.9876 2.6079 2.6079 -4.9876" Properties=species:S:1:pos:R:3 comment="NdUC2, optimized geometry, DFT PBE" relative_energy_ev_per_atom=0.060 delta_e_f_kcal_per_mol_atoms=-2.17 pbc="T T T"
Nd 2.6079 1.3039 1.2469
Nd 0.0000 1.3039 3.7407
U 2.6079 -1.3039 3.7407
U 0.0000 3.9118 1.2469
C 2.6079 1.3039 -1.5561
C 0.0000 1.3039 0.9377
C 2.6079 1.3039 4.0499
C 0.0000 1.3039 6.5437

=====

Record 9
4
Lattice="1.7965 1.0372 6.0021 -1.7965 1.0372 6.0021 0.0000 -2.0744 6.0021" Properties=species:S:1:pos:R:3 comment="NdUC2, optimized geometry, DFT PBE" relative_energy_ev_per_atom=0.141 delta_e_f_kcal_per_mol_atoms=-0.29 pbc="T T T"
Nd 0.0000 0.0000 0.0000
U 0.0000 0.0000 14.9024
C 0.0000 0.0000 4.0223
C 0.0000 0.0000 7.6877

=====

Record 10
4
Lattice="1.8154 1.0481 5.8871 -1.8154 1.0481 5.8871 0.0000 -2.0963 5.8871" Properties=species:S:1:pos:R:3 comment="NdUC2, optimized geometry, DFT PBE" relative_energy_ev_per_atom=0.000 delta_e_f_kcal_per_mol_atoms=-3.55 pbc="T T T"
Nd 0.0000 0.0000 0.0000
U 0.0000 0.0000 8.8306
C 0.0000 0.0000 4.0854
C 0.0000 0.0000 13.5757

=====

Record 11
3
Lattice="3.4480 0.0000 0.0000 -1.7240 2.9861 0.0000 0.0000 0.0000 6.4082" Properties=species:S:1:pos:R:3 comment="NdUC, optimized geometry, DFT PBE" delta_e_f_kcal_per_mol_atoms=2.31 pbc="T T T"
Nd 0.0000 0.0000 0.0000
U 1.7240 0.9954 2.9379
C 0.0000 1.9907 1.6921

=====

Record 12
4
Lattice="1.6931 0.9775 9.0027 -1.6931 0.9775 9.0027 0.0000 -1.9550 9.0027" Properties=species:S:1:pos:R:3 comment="Nd2WC, optimized geometry, DFT PBE" delta_e_f_kcal_per_mol_atoms=22.98 pbc="T T T"
Nd 0.0000 0.0000 3.0109
Nd 0.0000 0.0000 23.9972
W 0.0000 0.0000 0.0000
C 0.0000 0.0000 13.5041